(1)
Material: Ba3Cd2Si3
Method: DFT, PBE
State: relaxed

Values from the calculation:
* crystal system: orthorhombic
* formation energy without anion corrections: -0.30 eV per atom
* space-group type: Cmcm, No. 63

Structure (CIF):
```
data_Ba3Cd2Si3
_chemical_formula_sum 'Ba6 Cd4 Si6'
_symmetry_space_group_name_H-M 'P 1'
_symmetry_Int_Tables_number 1
_cell_length_a 6.523
_cell_length_b 6.523
_cell_length_c 16.719
_cell_angle_alpha 90.00
_cell_angle_beta 90.00
_cell_angle_gamma 136.45
loop_
_symmetry_equiv_pos_as_xyz
'x,y,z'
loop_
_atom_site_label
_atom_site_type_symbol
_atom_site_fract_x
_atom_site_fract_y
_atom_site_fract_z
Ba1 Ba 0.060 0.940 0.750
Ba2 Ba 0.350 0.650 0.602
Ba3 Ba 0.350 0.650 0.898
Ba4 Ba 0.650 0.350 0.102
Ba5 Ba 0.650 0.350 0.398
Ba6 Ba 0.940 0.060 0.250
Cd1 Cd 0.360 0.640 0.111
Cd2 Cd 0.360 0.640 0.389
Cd3 Cd 0.640 0.360 0.611
Cd4 Cd 0.640 0.360 0.889
Si1 Si 0.077 0.923 0.544
Si2 Si 0.077 0.923 0.956
Si3 Si 0.235 0.765 0.250
Si4 Si 0.765 0.235 0.750
Si5 Si 0.923 0.077 0.044
Si6 Si 0.923 0.077 0.456
```

---

(2)
Material: CrCu2Ni2
Method: DFT, PBE
State: relaxed

Values from the calculation:
* formation enthalpy at 0 K: 0.29 eV/atom
* crystal system: tetragonal
* distance to the lowest polymorph of the same formula: 0.000 eV/atom
* space-group type: P4/mbm, No. 127

Structure (CIF):
```
data_CrCu2Ni2
_chemical_formula_sum 'Cr2 Cu4 Ni4'
_symmetry_space_group_name_H-M 'P 1'
_symmetry_Int_Tables_number 1
_cell_length_a 6.687
_cell_length_b 6.687
_cell_length_c 2.789
_cell_angle_alpha 90.00
_cell_angle_beta 90.00
_cell_angle_gamma 90.00
loop_
_symmetry_equiv_pos_as_xyz
'x,y,z'
loop_
_atom_site_label
_atom_site_type_symbol
_atom_site_fract_x
_atom_site_fract_y
_atom_site_fract_z
Cr1 Cr 0.000 0.000 0.000
Cr2 Cr 0.500 0.500 0.000
Cu1 Cu 0.169 0.331 0.500
Cu2 Cu 0.331 0.831 0.500
Cu3 Cu 0.669 0.169 0.500
Cu4 Cu 0.831 0.669 0.500
Ni1 Ni 0.129 0.629 0.000
Ni2 Ni 0.371 0.129 0.000
Ni3 Ni 0.629 0.871 0.000
Ni4 Ni 0.871 0.371 0.000
```

---

(3)
Material: Er4CuSn
Method: DFT, PBE
State: relaxed

Values from the calculation:
* formation enthalpy at 0 K: -0.12 eV/atom
* crystal system: monoclinic
* space-group type: P2_1/c, No. 14

Structure (CIF):
```
data_Er4CuSn
_chemical_formula_sum 'Er8 Cu2 Sn2'
_symmetry_space_group_name_H-M 'P 1'
_symmetry_Int_Tables_number 1
_cell_length_a 7.214
_cell_length_b 7.161
_cell_length_c 6.826
_cell_angle_alpha 90.00
_cell_angle_beta 93.67
_cell_angle_gamma 90.00
loop_
_symmetry_equiv_pos_as_xyz
'x,y,z'
loop_
_atom_site_label
_atom_site_type_symbol
_atom_site_fract_x
_atom_site_fract_y
_atom_site_fract_z
Er1 Er 0.146 0.166 0.178
Er2 Er 0.146 0.334 0.678
Er3 Er 0.323 0.646 0.116
Er4 Er 0.323 0.854 0.616
Er5 Er 0.677 0.146 0.384
Er6 Er 0.677 0.354 0.884
Er7 Er 0.854 0.666 0.322
Er8 Er 0.854 0.834 0.822
Cu1 Cu 0.000 0.000 0.500
Cu2 Cu 0.000 0.500 0.000
Sn1 Sn 0.500 0.000 0.000
Sn2 Sn 0.500 0.500 0.500
```

---

(4)
Material: Sc2FeP
Method: DFT, PBE
State: relaxed

Values from the calculation:
* formation enthalpy at 0 K: -0.42 eV/atom
* crystal system: trigonal
* space-group type: R-3m, No. 166

Structure (CIF):
```
data_Sc2FeP
_chemical_formula_sum 'Sc2 Fe1 P1'
_symmetry_space_group_name_H-M 'P 1'
_symmetry_Int_Tables_number 1
_cell_length_a 7.039
_cell_length_b 7.039
_cell_length_c 7.039
_cell_angle_alpha 29.53
_cell_angle_beta 29.53
_cell_angle_gamma 29.53
loop_
_symmetry_equiv_pos_as_xyz
'x,y,z'
loop_
_atom_site_label
_atom_site_type_symbol
_atom_site_fract_x
_atom_site_fract_y
_atom_site_fract_z
Sc1 Sc 0.244 0.244 0.244
Sc2 Sc 0.756 0.756 0.756
Fe1 Fe 0.000 0.000 0.000
P1 P 0.500 0.500 0.500
```

---

(5)
Material: ReTcF3
Method: DFT, PBE
State: relaxed

Values from the calculation:
* crystal system: cubic
* distance to the lowest polymorph of the same formula: 0.000 eV/atom
* formation energy without anion corrections: 0.13 eV per atom
* space-group type: Pm-3m, No. 221

Structure (CIF):
```
data_ReTcF3
_chemical_formula_sum 'Re1 Tc1 F3'
_symmetry_space_group_name_H-M 'P 1'
_symmetry_Int_Tables_number 1
_cell_length_a 4.421
_cell_length_b 4.421
_cell_length_c 4.421
_cell_angle_alpha 90.00
_cell_angle_beta 90.00
_cell_angle_gamma 90.00
loop_
_symmetry_equiv_pos_as_xyz
'x,y,z'
loop_
_atom_site_label
_atom_site_type_symbol
_atom_site_fract_x
_atom_site_fract_y
_atom_site_fract_z
Re1 Re 0.000 0.000 0.000
Tc1 Tc 0.500 0.500 0.500
F1 F 0.000 0.500 0.500
F2 F 0.500 0.000 0.500
F3 F 0.500 0.500 0.000
```

---

(6)
Material: Pr2Ga9Pt3
Method: DFT, PBE
State: relaxed

Values from the calculation:
* formation enthalpy at 0 K: -0.70 eV/atom
* crystal system: monoclinic
* space-group type: C2/c, No. 15

Structure (CIF):
```
data_Pr2Ga9Pt3
_chemical_formula_sum 'Pr4 Ga18 Pt6'
_symmetry_space_group_name_H-M 'P 1'
_symmetry_Int_Tables_number 1
_cell_length_a 7.779
_cell_length_b 7.779
_cell_length_c 10.666
_cell_angle_alpha 111.13
_cell_angle_beta 111.13
_cell_angle_gamma 60.14
loop_
_symmetry_equiv_pos_as_xyz
'x,y,z'
loop_
_atom_site_label
_atom_site_type_symbol
_atom_site_fract_x
_atom_site_fract_y
_atom_site_fract_z
Pr1 Pr 0.084 0.252 0.251
Pr2 Pr 0.252 0.084 0.751
Pr3 Pr 0.748 0.916 0.249
Pr4 Pr 0.916 0.748 0.749
Ga1 Ga 0.026 0.858 0.076
Ga2 Ga 0.142 0.974 0.424
Ga3 Ga 0.194 0.359 0.577
Ga4 Ga 0.216 0.582 0.250
Ga5 Ga 0.311 0.479 0.935
Ga6 Ga 0.359 0.194 0.077
Ga7 Ga 0.378 0.622 0.750
Ga8 Ga 0.418 0.784 0.250
Ga9 Ga 0.479 0.311 0.435
Ga10 Ga 0.521 0.689 0.565
Ga11 Ga 0.582 0.216 0.750
Ga12 Ga 0.622 0.378 0.250
Ga13 Ga 0.641 0.806 0.923
Ga14 Ga 0.689 0.521 0.065
Ga15 Ga 0.784 0.418 0.750
Ga16 Ga 0.806 0.641 0.423
Ga17 Ga 0.858 0.026 0.576
Ga18 Ga 0.974 0.142 0.924
Pt1 Pt 0.000 0.500 0.000
Pt2 Pt 0.162 0.668 0.498
Pt3 Pt 0.332 0.838 0.002
Pt4 Pt 0.500 0.000 0.500
Pt5 Pt 0.668 0.162 0.998
Pt6 Pt 0.838 0.332 0.502
```

---

(7)
Material: LiTc2Pb
Method: DFT, PBE
State: relaxed

Values from the calculation:
* formation enthalpy at 0 K: 0.53 eV/atom
* crystal system: monoclinic
* space-group type: C2/m, No. 12

Structure (CIF):
```
data_LiTc2Pb
_chemical_formula_sum 'Li1 Tc2 Pb1'
_symmetry_space_group_name_H-M 'P 1'
_symmetry_Int_Tables_number 1
_cell_length_a 5.628
_cell_length_b 5.628
_cell_length_c 3.039
_cell_angle_alpha 105.05
_cell_angle_beta 105.05
_cell_angle_gamma 123.35
loop_
_symmetry_equiv_pos_as_xyz
'x,y,z'
loop_
_atom_site_label
_atom_site_type_symbol
_atom_site_fract_x
_atom_site_fract_y
_atom_site_fract_z
Li1 Li 0.000 0.000 0.000
Tc1 Tc 0.000 0.500 0.500
Tc2 Tc 0.500 0.000 0.500
Pb1 Pb 0.500 0.500 0.000
```

---

(8)
Material: SrLaIrBr
Method: DFT, PBE
State: relaxed

Values from the calculation:
* crystal system: trigonal
* formation energy without anion corrections: -1.06 eV per atom
* space-group type: R3m, No. 160

Structure (CIF):
```
data_SrLaIrBr
_chemical_formula_sum 'Sr1 La1 Ir1 Br1'
_symmetry_space_group_name_H-M 'P 1'
_symmetry_Int_Tables_number 1
_cell_length_a 8.392
_cell_length_b 8.392
_cell_length_c 8.392
_cell_angle_alpha 29.18
_cell_angle_beta 29.18
_cell_angle_gamma 29.18
loop_
_symmetry_equiv_pos_as_xyz
'x,y,z'
loop_
_atom_site_label
_atom_site_type_symbol
_atom_site_fract_x
_atom_site_fract_y
_atom_site_fract_z
Sr1 Sr 0.000 0.000 0.000
La1 La 0.199 0.199 0.199
Ir1 Ir 0.589 0.589 0.589
Br1 Br 0.765 0.765 0.765
```

---

(9)
Material: Sr8In2Pt
Method: DFT, PBE
State: relaxed

Values from the calculation:
* formation enthalpy at 0 K: -0.33 eV/atom
* crystal system: monoclinic
* distance to the lowest polymorph of the same formula: 0.000 eV/atom
* space-group type: C2/m, No. 12

Structure (CIF):
```
data_Sr8In2Pt
_chemical_formula_sum 'Sr8 In2 Pt1'
_symmetry_space_group_name_H-M 'P 1'
_symmetry_Int_Tables_number 1
_cell_length_a 10.499
_cell_length_b 10.499
_cell_length_c 7.683
_cell_angle_alpha 107.04
_cell_angle_beta 107.04
_cell_angle_gamma 32.02
loop_
_symmetry_equiv_pos_as_xyz
'x,y,z'
loop_
_atom_site_label
_atom_site_type_symbol
_atom_site_fract_x
_atom_site_fract_y
_atom_site_fract_z
Sr1 Sr 0.024 0.024 0.295
Sr2 Sr 0.211 0.211 0.797
Sr3 Sr 0.351 0.351 0.546
Sr4 Sr 0.407 0.407 0.083
Sr5 Sr 0.593 0.593 0.917
Sr6 Sr 0.649 0.649 0.454
Sr7 Sr 0.789 0.789 0.203
Sr8 Sr 0.976 0.976 0.705
In1 In 0.182 0.182 0.213
In2 In 0.818 0.818 0.787
Pt1 Pt 0.500 0.500 0.500
```

---

(10)
Material: Rb4AgCl7
Method: DFT, PBE
State: relaxed

Values from the calculation:
* crystal system: monoclinic
* formation energy without anion corrections: -1.38 eV per atom
* space-group type: C2/m, No. 12

Structure (CIF):
```
data_Rb4AgCl7
_chemical_formula_sum 'Rb4 Ag1 Cl7'
_symmetry_space_group_name_H-M 'P 1'
_symmetry_Int_Tables_number 1
_cell_length_a 8.915
_cell_length_b 8.915
_cell_length_c 11.213
_cell_angle_alpha 117.81
_cell_angle_beta 117.81
_cell_angle_gamma 33.43
loop_
_symmetry_equiv_pos_as_xyz
'x,y,z'
loop_
_atom_site_label
_atom_site_type_symbol
_atom_site_fract_x
_atom_site_fract_y
_atom_site_fract_z
Rb1 Rb 0.048 0.048 0.229
Rb2 Rb 0.218 0.218 0.813
Rb3 Rb 0.782 0.782 0.187
Rb4 Rb 0.952 0.952 0.771
Ag1 Ag 0.500 0.500 0.500
Cl1 Cl 0.000 0.000 0.500
Cl2 Cl 0.149 0.149 0.053
Cl3 Cl 0.255 0.255 0.508
Cl4 Cl 0.433 0.433 0.254
Cl5 Cl 0.567 0.567 0.746
Cl6 Cl 0.745 0.745 0.492
Cl7 Cl 0.851 0.851 0.947
```

---

(11)
Material: TbEr3O
Method: DFT, PBE
State: relaxed

Values from the calculation:
* crystal system: cubic
* formation energy without anion corrections: -1.09 eV per atom
* space-group type: Pm-3m, No. 221

Structure (CIF):
```
data_TbEr3O
_chemical_formula_sum 'Tb1 Er3 O1'
_symmetry_space_group_name_H-M 'P 1'
_symmetry_Int_Tables_number 1
_cell_length_a 4.898
_cell_length_b 4.898
_cell_length_c 4.898
_cell_angle_alpha 90.00
_cell_angle_beta 90.00
_cell_angle_gamma 90.00
loop_
_symmetry_equiv_pos_as_xyz
'x,y,z'
loop_
_atom_site_label
_atom_site_type_symbol
_atom_site_fract_x
_atom_site_fract_y
_atom_site_fract_z
Tb1 Tb 0.000 0.000 0.000
Er1 Er 0.000 0.500 0.500
Er2 Er 0.500 0.000 0.500
Er3 Er 0.500 0.500 0.000
O1 O 0.500 0.500 0.500
```

---

(12)
Material: LiTbNdIr
Method: DFT, PBE
State: relaxed

Values from the calculation:
* formation enthalpy at 0 K: -0.47 eV/atom
* crystal system: cubic
* space-group type: F-43m, No. 216

Structure (CIF):
```
data_LiTbNdIr
_chemical_formula_sum 'Li1 Tb1 Nd1 Ir1'
_symmetry_space_group_name_H-M 'P 1'
_symmetry_Int_Tables_number 1
_cell_length_a 5.015
_cell_length_b 5.015
_cell_length_c 5.015
_cell_angle_alpha 60.00
_cell_angle_beta 60.00
_cell_angle_gamma 60.00
loop_
_symmetry_equiv_pos_as_xyz
'x,y,z'
loop_
_atom_site_label
_atom_site_type_symbol
_atom_site_fract_x
_atom_site_fract_y
_atom_site_fract_z
Li1 Li 0.000 0.000 0.000
Tb1 Tb 0.750 0.750 0.750
Nd1 Nd 0.250 0.250 0.250
Ir1 Ir 0.500 0.500 0.500
```

---

(13)
Material: RbY2Cr
Method: DFT, PBE
State: relaxed

Values from the calculation:
* formation enthalpy at 0 K: 0.83 eV/atom
* crystal system: cubic
* distance to the lowest polymorph of the same formula: 0.000 eV/atom
* space-group type: Fm-3m, No. 225

Structure (CIF):
```
data_RbY2Cr
_chemical_formula_sum 'Rb1 Y2 Cr1'
_symmetry_space_group_name_H-M 'P 1'
_symmetry_Int_Tables_number 1
_cell_length_a 5.579
_cell_length_b 5.579
_cell_length_c 5.579
_cell_angle_alpha 60.00
_cell_angle_beta 60.00
_cell_angle_gamma 60.00
loop_
_symmetry_equiv_pos_as_xyz
'x,y,z'
loop_
_atom_site_label
_atom_site_type_symbol
_atom_site_fract_x
_atom_site_fract_y
_atom_site_fract_z
Rb1 Rb 0.000 0.000 0.000
Y1 Y 0.250 0.250 0.250
Y2 Y 0.750 0.750 0.750
Cr1 Cr 0.500 0.500 0.500
```

---

(14)
Material: TaAgW2
Method: DFT, PBE
State: relaxed

Values from the calculation:
* formation enthalpy at 0 K: 0.40 eV/atom
* crystal system: tetragonal
* distance to the lowest polymorph of the same formula: 0.175 eV/atom
* space-group type: P4mm, No. 99

Structure (CIF):
```
data_TaAgW2
_chemical_formula_sum 'Ta1 Ag1 W2'
_symmetry_space_group_name_H-M 'P 1'
_symmetry_Int_Tables_number 1
_cell_length_a 2.716
_cell_length_b 2.716
_cell_length_c 9.233
_cell_angle_alpha 90.00
_cell_angle_beta 90.00
_cell_angle_gamma 90.00
loop_
_symmetry_equiv_pos_as_xyz
'x,y,z'
loop_
_atom_site_label
_atom_site_type_symbol
_atom_site_fract_x
_atom_site_fract_y
_atom_site_fract_z
Ta1 Ta 0.000 0.000 0.000
Ag1 Ag 0.500 0.500 0.746
W1 W 0.000 0.000 0.498
W2 W 0.500 0.500 0.251
```

---

(15)
Material: BaLaY2
Method: DFT, PBE
State: relaxed

Values from the calculation:
* formation enthalpy at 0 K: 0.28 eV/atom
* crystal system: cubic
* distance to the lowest polymorph of the same formula: 0.148 eV/atom
* space-group type: F-43m, No. 216

Structure (CIF):
```
data_BaLaY2
_chemical_formula_sum 'Ba1 La1 Y2'
_symmetry_space_group_name_H-M 'P 1'
_symmetry_Int_Tables_number 1
_cell_length_a 6.035
_cell_length_b 6.035
_cell_length_c 6.035
_cell_angle_alpha 60.00
_cell_angle_beta 60.00
_cell_angle_gamma 60.00
loop_
_symmetry_equiv_pos_as_xyz
'x,y,z'
loop_
_atom_site_label
_atom_site_type_symbol
_atom_site_fract_x
_atom_site_fract_y
_atom_site_fract_z
Ba1 Ba 0.000 0.000 0.000
La1 La 0.250 0.250 0.250
Y1 Y 0.500 0.500 0.500
Y2 Y 0.750 0.750 0.750
```

---

(16)
Material: MgTl3Cu2F9
Method: DFT, PBE
State: relaxed

Values from the calculation:
* crystal system: trigonal
* formation energy without anion corrections: -2.03 eV per atom
* space-group type: P-3m1, No. 164

Structure (CIF):
```
data_MgTl3Cu2F9
_chemical_formula_sum 'Mg1 Tl3 Cu2 F9'
_symmetry_space_group_name_H-M 'P 1'
_symmetry_Int_Tables_number 1
_cell_length_a 5.875
_cell_length_b 5.875
_cell_length_c 7.193
_cell_angle_alpha 90.00
_cell_angle_beta 90.00
_cell_angle_gamma 120.00
loop_
_symmetry_equiv_pos_as_xyz
'x,y,z'
loop_
_atom_site_label
_atom_site_type_symbol
_atom_site_fract_x
_atom_site_fract_y
_atom_site_fract_z
Mg1 Mg 0.000 0.000 0.000
Tl1 Tl 0.000 0.000 0.500
Tl2 Tl 0.333 0.667 0.166
Tl3 Tl 0.667 0.333 0.834
Cu1 Cu 0.333 0.667 0.666
Cu2 Cu 0.667 0.333 0.334
F1 F 0.000 0.500 0.500
F2 F 0.165 0.330 0.835
F3 F 0.165 0.835 0.835
F4 F 0.330 0.165 0.165
F5 F 0.500 0.000 0.500
F6 F 0.500 0.500 0.500
F7 F 0.670 0.835 0.835
F8 F 0.835 0.165 0.165
F9 F 0.835 0.670 0.165
```

---

(17)
Material: LiTb2DyCd4
Method: DFT, PBE
State: relaxed

Values from the calculation:
* formation enthalpy at 0 K: -0.28 eV/atom
* crystal system: trigonal
* space-group type: R-3m, No. 166

Structure (CIF):
```
data_LiTb2DyCd4
_chemical_formula_sum 'Li1 Tb2 Dy1 Cd4'
_symmetry_space_group_name_H-M 'P 1'
_symmetry_Int_Tables_number 1
_cell_length_a 9.025
_cell_length_b 9.025
_cell_length_c 9.025
_cell_angle_alpha 33.57
_cell_angle_beta 33.57
_cell_angle_gamma 33.57
loop_
_symmetry_equiv_pos_as_xyz
'x,y,z'
loop_
_atom_site_label
_atom_site_type_symbol
_atom_site_fract_x
_atom_site_fract_y
_atom_site_fract_z
Li1 Li 0.000 0.000 0.000
Tb1 Tb 0.251 0.251 0.251
Tb2 Tb 0.749 0.749 0.749
Dy1 Dy 0.500 0.500 0.500
Cd1 Cd 0.121 0.121 0.121
Cd2 Cd 0.373 0.373 0.373
Cd3 Cd 0.627 0.627 0.627
Cd4 Cd 0.879 0.879 0.879
```